Below is Y4HgRu after structural relaxation, with properties calculated at the PBE level.

Cell lengths 7.629, 7.629, 6.266 Å; angles 98.73, 98.73, 111.15 degrees
Fractional positions:
Y 0.066 0.726 0.958
Y 0.207 0.368 0.593
Y 0.274 0.934 0.542
Y 0.368 0.207 0.093
Y 0.632 0.793 0.907
Y 0.726 0.066 0.458
Y 0.793 0.632 0.407
Y 0.934 0.274 0.042
Hg 0.373 0.627 0.250
Hg 0.627 0.373 0.750
Ru 0.001 0.999 0.750
Ru 0.999 0.001 0.250

Values from the calculation:
Energy relative to the lowest polymorph listed for this composition, meV per atom: 0.0
E, eV per atom: -6.274
Formation enthalpy at 0 K, meV/atom: -368

=====

Below is TaNiPt14 after structural relaxation, with properties calculated at the PBE level.

Cell lengths 5.633, 5.633, 7.837 Å; angles 90.00, 90.00, 90.00 degrees
Fractional positions:
Ta 0.000 0.000 0.000
Ni 0.500 0.500 0.000
Pt 0.000 0.000 0.500
Pt 0.000 0.500 0.000
Pt 0.000 0.500 0.500
Pt 0.251 0.251 0.242
Pt 0.251 0.251 0.758
Pt 0.251 0.749 0.242
Pt 0.251 0.749 0.758
Pt 0.500 0.000 0.000
Pt 0.500 0.000 0.500
Pt 0.500 0.500 0.500
Pt 0.749 0.251 0.242
Pt 0.749 0.251 0.758
Pt 0.749 0.749 0.242
Pt 0.749 0.749 0.758

Values from the calculation:
E, eV per atom: -6.613
Formation enthalpy at 0 K, meV/atom: -225

=====

Below is NaAcCdBi after structural relaxation, with properties calculated at the PBE level.

Cell lengths 5.683, 5.683, 5.683 Å; angles 60.00, 60.00, 60.00 degrees
Fractional positions:
Na 0.000 0.000 0.000
Ac 0.500 0.500 0.500
Cd 0.750 0.750 0.750
Bi 0.250 0.250 0.250

Values from the calculation:
E, eV per atom: -2.952
Formation enthalpy at 0 K, meV/atom: -396

=====

Below is KBeZnPt2 after structural relaxation, with properties calculated at the PBE level.

Cell lengths 4.823, 4.823, 4.418 Å; angles 90.00, 90.00, 90.00 degrees
Fractional positions:
K 0.000 0.000 0.000
Be 0.500 0.500 0.000
Zn 0.500 0.500 0.500
Pt 0.000 0.500 0.500
Pt 0.500 0.000 0.500

Values from the calculation:
E, eV per atom: -3.153
Formation enthalpy at 0 K, meV/atom: 483

=====

Below is Si2PCl after structural relaxation, with properties calculated at the PBE level.

Cell lengths 3.149, 3.149, 7.000 Å; angles 90.00, 90.00, 90.00 degrees
Fractional positions:
Si 0.000 0.000 0.199
Si 0.000 0.000 0.801
P 0.500 0.500 0.000
Cl 0.500 0.500 0.500

Values from the calculation:
Energy relative to the lowest polymorph listed for this composition, meV per atom: 382.8
Formation energy (no corrections), eV per atom: 0.404
E, eV per atom: -4.122

=====

Below is Ce4TcCl5 after structural relaxation, with properties calculated at the PBE level.

Cell lengths 9.178, 9.178, 8.658 Å; angles 105.89, 105.89, 25.21 degrees
Fractional positions:
Ce 0.002 0.002 0.233
Ce 0.345 0.345 0.910
Ce 0.655 0.655 0.090
Ce 0.998 0.998 0.767
Tc 0.500 0.500 0.000
Cl 0.169 0.169 0.334
Cl 0.169 0.169 0.850
Cl 0.500 0.500 0.500
Cl 0.831 0.831 0.150
Cl 0.831 0.831 0.666

Values from the calculation:
Formation energy (no corrections), eV per atom: -1.486
E, eV per atom: -5.820

=====

Below is Nb3MoP after structural relaxation, with properties calculated at the PBE level.

Cell lengths 4.577, 4.577, 4.577 Å; angles 90.00, 90.00, 90.00 degrees
Fractional positions:
Nb 0.000 0.000 0.500
Nb 0.000 0.500 0.000
Nb 0.500 0.000 0.000
Mo 0.500 0.500 0.500
P 0.000 0.000 0.000

Values from the calculation:
Energy relative to the lowest polymorph listed for this composition, meV per atom: 0.0
E, eV per atom: -8.858
Formation enthalpy at 0 K, meV/atom: 432

=====

Below is Nd3PdRu after structural relaxation, with properties calculated at the PBE level.

Cell lengths 7.901, 7.901, 8.320 Å; angles 90.31, 90.31, 91.58 degrees
Fractional positions:
Nd 0.023 0.802 0.915
Nd 0.077 0.419 0.669
Nd 0.198 0.977 0.585
Nd 0.301 0.511 0.086
Nd 0.419 0.077 0.169
Nd 0.489 0.699 0.414
Nd 0.511 0.301 0.586
Nd 0.581 0.923 0.831
Nd 0.699 0.489 0.914
Nd 0.802 0.023 0.415
Nd 0.923 0.581 0.331
Nd 0.977 0.198 0.085
Pd 0.117 0.883 0.250
Pd 0.380 0.620 0.750
Pd 0.620 0.380 0.250
Pd 0.883 0.117 0.750
Ru 0.203 0.283 0.362
Ru 0.283 0.203 0.862
Ru 0.717 0.797 0.138
Ru 0.797 0.717 0.638

Values from the calculation:
Energy relative to the lowest polymorph listed for this composition, meV per atom: 88.4
E, eV per atom: -6.081
Formation enthalpy at 0 K, meV/atom: -327